Record 1
Material: TmS2
Method: DFT, PBE
State: optimized geometry

Structure (extended XYZ):
```
6
Lattice="-2.9563 0.8346 -2.2608 0.2337 -3.4619 -1.5837 -4.9499 -2.8190 5.4318" Properties=species:S:1:pos:R:3 pbc="T T T"
S -3.8684 -3.0107 -0.8790
S -3.8040 -2.4356 2.4664
S -2.1588 -0.2395 -2.0915
S -0.5638 -2.3878 -1.7530
Tm -5.6375 -4.0182 1.0623
Tm -2.0350 -1.4281 0.5251
```

Computed properties:
Magnetic moment (μB/f.u.): 0.0
DOS(E_F) (states/eV per cell): 0.97
SG: P4/nmm
ΔE_f (raw) (eV per atom): -1.637

***

Record 2
Material: K2TeBr
Method: DFT, PBE
State: optimized geometry

Structure (extended XYZ):
```
4
Lattice="7.6057 0.0243 0.0000 4.5220 6.1154 0.0000 -6.0639 -3.0699 3.4136" Properties=species:S:1:pos:R:3 pbc="T T T"
Br 3.8028 0.0122 1.7068
K 0.0000 0.0000 0.0000
K 2.2610 3.0577 1.7068
Te 6.0639 3.0699 0.0000
```

Computed properties:
Magnetic moment (μB/f.u.): 1.0
DOS(E_F) (states/eV per cell): 3.27
SG: I-4m2
ΔE_f (raw) (eV per atom): -0.950